# 1
First-principles (GGA-PBE) data for Er3HfSb4 after structural relaxation, as listed in Alexandria via LeMat-Bulk.

Properties
symmetry: Cmmm, No. 65
DOS at the Fermi energy: 1.34 states/eV per cell
total DFT energy (no corrections): -5.931 eV per atom
size of the total moment: 0.00 μB/cell
formation energy from raw total energies: -914 meV/atom

The structure in extended XYZ format:
```
8
Lattice="-3.9580 -1.6188 -0.1070 2.1150 -5.4709 4.5340 -2.4476 5.7176 4.0348" Properties=species:S:1:pos:R:3 pbc="T T T"
Sb -0.0797 0.0591 2.0524
Sb -0.9799 -3.5440 4.3584
Sb -0.2530 0.1876 6.5164
Sb -3.3108 2.1718 4.1034
Hf -1.9790 -0.8094 -0.0535
Er -1.2238 2.8588 2.0174
Er -2.1453 -0.6861 4.2309
Er 1.0575 -2.7354 2.2670
```

---

# 2
First-principles (GGA-PBE) data for CdAgAs2Br after structural relaxation, as listed in Alexandria via LeMat-Bulk.

Properties
energy relative to the lowest polymorph listed for this composition: 0.000 kcal/mol of atoms
symmetry: P4/mmm, No. 123
DOS at the Fermi energy: 3.50 states/eV per cell
total DFT energy (no corrections): -2.329 eV per atom
size of the total moment: 1.26 μB/cell
formation energy from raw total energies: 618 meV/atom

The structure in extended XYZ format:
```
5
Lattice="-2.7821 1.2685 4.0306 -3.2053 -3.7781 -1.0234 2.9561 -3.3458 3.0934" Properties=species:S:1:pos:R:3 pbc="T T T"
As -1.6026 -1.8891 -0.5117
As -1.3911 0.6343 2.0153
Br 1.4780 -1.6729 1.5467
Ag 0.0000 0.0000 0.0000
Cd -1.5157 -2.9277 3.0503
```

---

# 3
First-principles (GGA-PBE) data for LaPm2Nd after structural relaxation, as listed in Alexandria via LeMat-Bulk.

Properties
energy relative to the lowest polymorph listed for this composition: 3.060 kcal/mol of atoms
symmetry: Fm-3m, No. 225
DOS at the Fermi energy: 10.35 states/eV per cell
ΔE_f: 0.13 eV per atom
total DFT energy (no corrections): -4.671 eV per atom
size of the total moment: 0.00 μB/cell

The structure in extended XYZ format:
```
4
Lattice="-5.3866 2.1708 -0.7336 -4.0958 -0.8897 4.0865 -1.8372 4.4563 3.3215" Properties=species:S:1:pos:R:3 pbc="T T T"
Pm -2.8299 1.4344 1.6686
Pm -8.4897 4.3031 5.0057
Nd 0.0000 0.0000 0.0000
La -5.6598 2.8687 3.3371
```

---

# 4
First-principles (GGA-PBE) data for Tb2Zn2Rh5Pb after structural relaxation, as listed in Alexandria via LeMat-Bulk.

Properties
symmetry: P4/mbm, No. 127
DOS at the Fermi energy: 11.75 states/eV per cell
ΔE_f: -0.57 eV per atom
total DFT energy (no corrections): -5.794 eV per atom
size of the total moment: 0.00 μB/cell

The structure in extended XYZ format:
```
20
Lattice="3.7412 0.0000 0.0000 0.0000 9.6989 0.0000 0.0000 0.0000 9.6989" Properties=species:S:1:pos:R:3 pbc="T T T"
Tb 0.0000 6.5428 1.6934
Tb 0.0000 3.1561 8.0055
Tb 0.0000 1.6934 3.1561
Tb 0.0000 8.0055 6.5428
Zn 0.0000 1.1846 6.0340
Zn 0.0000 8.5143 3.6648
Zn 0.0000 6.0340 8.5143
Zn 0.0000 3.6648 1.1846
Rh 1.8706 2.0345 0.6853
Rh 1.8706 7.6644 9.0136
Rh 1.8706 0.6853 7.6644
Rh 1.8706 6.8840 4.1642
Rh 1.8706 9.0136 2.0345
Rh 1.8706 2.8149 5.5347
Rh 1.8706 5.5347 6.8840
Rh 1.8706 4.1642 2.8149
Rh 1.8706 4.8494 0.0000
Rh 1.8706 0.0000 4.8494
Pb 0.0000 0.0000 0.0000
Pb 0.0000 4.8494 4.8494
```